LiCr2Ir | PBE-GGA | relaxed

Unit cell a=4.775 b=4.775 c=2.584 alpha=96.87 beta=96.87 gamma=119.93
Fractional coordinates of all 4 atoms:
Li 0.000 0.000 0.000
Cr 0.000 0.500 0.500
Cr 0.500 0.000 0.500
Ir 0.500 0.500 0.000

Results
Its crystal system is monoclinic. The formation energy is 0.17 eV/atom.